This record from Alexandria via LeMat-Bulk describes a relaxed BaIr2Au crystal. The functional is GGA-PBE.

## Properties
ΔE_f in kcal/mol of atoms: 16.5
Energy above the most stable polymorph in this dataset in meV per atom: 855
Calculated total energy in eV per atom: -5.02

extended XYZ file:
```
4
Lattice="-2.253 2.253 4.099 2.253 -2.253 4.099 2.253 2.253 -4.099" Properties=species:S:1:pos:R:3 pbc="T T T"
Ba 0.000 0.000 0.000
Ir 2.253 0.000 2.050
Ir 0.000 0.000 4.099
Au 0.000 2.253 2.050
```

---

This record from Alexandria via LeMat-Bulk describes a relaxed NbPdRu2 crystal. The functional is GGA-PBE.

## Properties
ΔE_f in kcal/mol of atoms: 9.3
Energy above the most stable polymorph in this dataset in meV per atom: 609
Calculated total energy in eV per atom: -8.05

extended XYZ file:
```
8
Lattice="-1.922 1.922 9.068 1.922 -1.922 9.068 1.922 1.922 -9.068" Properties=species:S:1:pos:R:3 pbc="T T T"
Nb 0.000 0.000 0.000
Nb 0.000 1.922 4.534
Pd 1.922 0.000 4.534
Pd 0.000 0.000 9.068
Ru 0.961 -0.807 6.801
Ru 1.114 0.961 2.267
Ru 0.961 2.729 -2.267
Ru 0.807 0.961 11.335
```

---

This record from Alexandria via LeMat-Bulk describes a relaxed Pm5DySi6 crystal. The functional is GGA-PBE.

## Properties
Formation energy from raw total energies in eV/atom: -0.44
Calculated total energy in eV per atom: -5.52

extended XYZ file:
```
12
Lattice="3.672 -6.276 0.000 3.672 6.276 0.000 -2.386 0.000 6.844" Properties=species:S:1:pos:R:3 pbc="T T T"
Pm 0.000 0.000 0.000
Pm 2.479 4.185 3.422
Pm 3.672 2.110 0.000
Pm 3.672 -2.110 0.000
Pm 2.479 -4.185 3.422
Dy 2.479 0.000 3.422
Si 1.255 2.065 1.732
Si 0.078 0.000 5.121
Si 1.255 -2.065 1.732
Si 3.702 2.065 5.112
Si 4.879 0.000 1.723
Si 3.702 -2.065 5.112
```

---

This record from Alexandria via LeMat-Bulk describes a relaxed ScICl2 crystal. The functional is GGA-PBE.

## Properties
Energy above the most stable polymorph in this dataset in meV per atom: 408
Formation energy from raw total energies in eV/atom: -1.36
Calculated total energy in eV per atom: -4.25

extended XYZ file:
```
4
Lattice="1.780 1.027 11.139 -1.780 1.027 11.139 0.000 -2.055 11.139" Properties=species:S:1:pos:R:3 pbc="T T T"
Sc 0.000 0.000 0.000
I 0.000 0.000 16.708
Cl 0.000 0.000 12.677
Cl 0.000 0.000 20.740
```

---

This record from Alexandria via LeMat-Bulk describes a relaxed CsCd2CoCl8 crystal. The functional is GGA-PBE.

## Properties
Formation energy from raw total energies in eV/atom: -1.03
Calculated total energy in eV per atom: -3.08

extended XYZ file:
```
12
Lattice="5.302 -3.426 0.000 5.302 3.426 0.000 -0.916 0.000 9.862" Properties=species:S:1:pos:R:3 pbc="T T T"
Cs 0.000 0.000 0.000
Cd 3.200 0.000 6.618
Cd 6.489 0.000 3.244
Co -0.458 0.000 4.931
Cl 4.620 1.840 3.329
Cl 1.772 0.000 4.555
Cl 5.069 1.840 6.533
Cl 2.588 0.000 8.956
Cl 7.101 0.000 0.906
Cl 4.620 -1.840 3.329
Cl 7.917 0.000 5.307
Cl 5.069 -1.840 6.533
```

---

This record from Alexandria via LeMat-Bulk describes a relaxed Ge2BiS6 crystal. The functional is GGA-PBE.

## Properties
Formation energy from raw total energies in eV/atom: -0.16
Calculated total energy in eV per atom: -4.37

extended XYZ file:
```
18
Lattice="6.207 -5.805 0.000 6.207 5.805 0.000 -1.277 0.000 6.226" Properties=species:S:1:pos:R:3 pbc="T T T"
Ge 2.194 0.841 1.623
Ge 1.556 -0.841 4.736
Ge 9.581 0.841 1.490
Ge 8.942 -0.841 4.603
Bi 5.249 1.457 4.669
Bi 5.888 -1.457 1.556
S 0.994 0.996 3.511
S 3.182 3.159 5.835
S 1.632 -0.996 0.398
S 4.416 0.890 2.019
S 7.316 3.159 3.504
S 3.778 -0.890 5.132
S 7.359 0.890 1.094
S 3.821 -3.159 2.722
S 6.721 -0.890 4.206
S 9.505 0.996 5.828
S 7.955 -3.159 0.391
S 10.143 -0.996 2.715
```

---

This record from Alexandria via LeMat-Bulk describes a relaxed VInSi crystal. The functional is GGA-PBE.

## Properties
Energy above the most stable polymorph in this dataset in meV per atom: 0
Formation energy from raw total energies in eV/atom: -0.09
Calculated total energy in eV per atom: -5.85

extended XYZ file:
```
6
Lattice="3.221 0.000 0.000 0.000 3.561 0.000 -0.010 0.000 9.712" Properties=species:S:1:pos:R:3 pbc="T T T"
V 0.000 0.890 1.208
V 3.210 2.671 8.504
In 1.593 2.671 6.106
In 1.617 0.890 3.606
Si 1.600 0.890 8.846
Si 1.611 2.671 0.866
```

---

This record from Alexandria via LeMat-Bulk describes a relaxed NaLi2Ca2 crystal. The functional is GGA-PBE.

## Properties
ΔE_f in kcal/mol of atoms: 2.6
Energy above the most stable polymorph in this dataset in meV per atom: 58
Calculated total energy in eV per atom: -1.72

extended XYZ file:
```
5
Lattice="-1.937 1.937 10.944 1.937 -1.937 10.944 1.937 1.937 -10.944" Properties=species:S:1:pos:R:3 pbc="T T T"
Na 0.000 0.000 0.000
Li 1.937 0.000 5.472
Li 0.000 1.937 5.472
Ca 0.000 0.000 8.307
Ca 0.000 0.000 13.582
```

---

This record from Alexandria via LeMat-Bulk describes a relaxed K2CoRu crystal. The functional is GGA-PBE.

## Properties
ΔE_f in kcal/mol of atoms: 31.4
Energy above the most stable polymorph in this dataset in meV per atom: 663
Calculated total energy in eV per atom: -3.28

extended XYZ file:
```
4
Lattice="-2.517 2.517 3.567 2.517 -2.517 3.567 2.517 2.517 -3.567" Properties=species:S:1:pos:R:3 pbc="T T T"
K 0.000 0.000 0.000
K 0.000 2.517 1.783
Co 0.000 0.000 3.567
Ru 2.517 0.000 1.783
```

---

This record from Alexandria via LeMat-Bulk describes a relaxed CePm4Er3S8 crystal. The functional is GGA-PBE.

## Properties
Formation energy from raw total energies in eV/atom: -2.01
Calculated total energy in eV per atom: -6.49

extended XYZ file:
```
16
Lattice="3.961 2.287 6.508 -3.961 2.287 6.508 0.000 -4.574 6.508" Properties=species:S:1:pos:R:3 pbc="T T T"
Ce 0.000 0.000 0.000
Pm -3.961 0.000 9.762
Pm -1.980 1.143 3.254
Pm 1.980 1.143 3.254
Pm 0.000 0.000 9.762
Er -1.980 -1.143 6.508
Er -1.980 1.143 13.016
Er 0.000 2.287 6.508
S 0.000 -2.246 8.058
S -1.945 1.123 8.058
S 0.000 0.000 4.987
S -1.945 -1.123 11.466
S 1.945 1.123 8.058
S 0.000 0.000 14.537
S 1.945 -1.123 11.466
S 0.000 2.246 11.466
```